[1]
This record from Alexandria via LeMat-Bulk describes a geometry-optimized Y3ZnRe structure. The functional is PBE.

The structure in extended XYZ format:
```
5
Lattice="-4.916 -2.045 -0.837 1.991 -3.212 -3.843 0.959 -3.815 3.685" Properties=species:S:1:pos:R:3 pbc="T T T"
Re 0.000 0.000 0.000
Y 0.480 -1.907 1.842
Y 0.995 -1.606 -1.922
Y -2.458 -1.023 -0.419
Zn -0.983 -4.536 -0.498
```

Computed properties:
The calculation puts the calculated volume at 31.32 Å³ per atom. As for the energy above the most stable polymorph in this dataset: 0.000 eV per atom. As for the formation energy: 0.37 eV per atom.

[2]
This record from Alexandria via LeMat-Bulk describes a geometry-optimized TcOsBr2 structure. The functional is PBE.

The structure in extended XYZ format:
```
4
Lattice="4.535 0.000 0.000 0.000 4.535 0.000 0.000 0.000 3.208" Properties=species:S:1:pos:R:3 pbc="T T T"
Tc 0.000 2.267 1.604
Br 2.267 2.267 0.000
Br 0.000 0.000 0.000
Os 2.267 0.000 1.604
```

Computed properties:
The calculation puts the calculated volume at 16.49 Å³ per atom. As for the energy above the most stable polymorph in this dataset: 1.198 eV per atom. The calculation puts the raw formation energy at 1478 meV per atom.

[3]
This record from Alexandria via LeMat-Bulk describes a geometry-optimized Sr2MgPb structure. The functional is PBE.

The structure in extended XYZ format:
```
4
Lattice="-2.743 2.078 -1.960 -2.428 -0.266 3.116 3.643 8.140 3.532" Properties=species:S:1:pos:R:3 pbc="T T T"
Sr 3.452 7.714 3.347
Sr -1.486 3.362 1.644
Mg 1.977 4.418 1.917
Pb -0.007 6.669 3.079
```

Computed properties:
The calculation puts the calculated volume at 37.60 Å³ per atom. As for the formation energy: -0.18 eV per atom.

[4]
This record from Alexandria via LeMat-Bulk describes a geometry-optimized Nd12SmAl3 structure. The functional is PBE.

The structure in extended XYZ format:
```
16
Lattice="-4.677 1.328 0.872 -0.649 -4.072 2.719 5.929 10.059 16.481" Properties=species:S:1:pos:R:3 pbc="T T T"
Nd 2.785 9.356 14.677
Nd -1.130 1.228 6.056
Nd -2.663 -1.372 1.796
Nd 4.799 6.656 15.600
Nd 1.733 6.086 14.016
Nd 0.302 3.657 10.036
Nd 0.482 -0.669 3.600
Nd 3.359 4.212 11.597
Nd 1.345 6.912 10.674
Nd 1.922 1.775 7.603
Nd -0.092 4.475 6.680
Nd -1.532 2.031 2.677
Al 1.529 2.595 4.251
Al 4.400 7.465 12.230
Al 2.965 5.030 8.241
Sm 0.000 0.000 0.000
```

Computed properties:
The calculation puts the calculated volume at 30.80 Å³ per atom. As for the formation energy: -0.11 eV per atom.